1.
The following is a PBE calculation of a relaxed structure of Ta2VIr, from the Alexandria database.

The space group is Immm (No. 71) and the conventional cell measures 2.8116, 4.8142 and 10.4370 Å, with angles of 90.00, 90.00 and 90.00 degrees. The asymmetric unit holds Ta at (0.0000, 0.0000, 0.2379), V at (0.0000, 0.0000, 0.5000) and Ir at (0.0000, 0.0000, 0.0000).


2.
The following is a PBE calculation of a relaxed structure of TaVIr2, from the Alexandria database.

The offset from the most stable computed form is 3.011 eV/f.u.

The space group is I-42d (No. 122) and the conventional cell measures 4.0293, 4.0293 and 16.8566 Å, with angles of 90.00, 90.00 and 90.00 degrees. The asymmetric unit holds Ta at (0.0000, 0.0000, 0.0000), V at (0.0000, 0.0000, 0.5000) and Ir at (0.2286, 0.2500, 0.6250).


3.
The following is a PBE calculation of a relaxed structure of Ta4V4Ir, from the Alexandria database.

The space group is I-42m (No. 121) and the conventional cell measures 4.8681, 4.8681 and 12.7809 Å, with angles of 90.00, 90.00 and 90.00 degrees. The asymmetric unit holds Ta at (0.2332, 0.2332, 0.3134), V at (0.1915, 0.1915, 0.0781) and Ir at (0.0000, 0.0000, 0.5000).


4.
The following is a PBE calculation of a relaxed structure of Ta2V2Ir, from the Alexandria database.

The offset from the most stable computed form is 3.565 eV/f.u.

The space group is I4/mmm (No. 139) and the conventional cell measures 3.8744, 3.8744 and 11.2311 Å, with angles of 90.00, 90.00 and 90.00 degrees. The asymmetric unit holds Ta at (0.0000, 0.5000, 0.2500), V at (0.0000, 0.0000, 0.0838) and Ir at (0.0000, 0.0000, 0.5000).


5.
The following is a PBE calculation of a relaxed structure of TaV2Ir3, from the Alexandria database.

The space group is P4/mmm (No. 123) and the conventional cell measures 2.7979, 2.7979 and 11.2271 Å, with angles of 90.00, 90.00 and 90.00 degrees. The asymmetric unit holds Ta at (0.0000, 0.0000, 0.0000), V at (0.0000, 0.0000, 0.3381), Ir at (0.5000, 0.5000, 0.1816) and Ir at (0.5000, 0.5000, 0.5000).


6.
The following is a PBE calculation of a relaxed structure of Ta2VIr, from the Alexandria database.

The space group is Fm-3m (No. 225) and the conventional cell measures 6.3455, 6.3455 and 6.3455 Å, with angles of 90.00, 90.00 and 90.00 degrees. The asymmetric unit holds Ta at (0.2500, 0.2500, 0.2500), V at (0.0000, 0.0000, 0.0000) and Ir at (0.0000, 0.0000, 0.5000).


Number 1: E_form 2.00 eV per formula unit, calculated density 14224 kg/m³. Number 2: E_form 0.82 eV per formula unit, calculated density 14959 kg/m³. Number 3: E_form 1.90 eV per formula unit, calculated density 12278 kg/m³. Number 4: E_form 3.66 eV per formula unit, calculated density 12922 kg/m³. Number 5: E_form -3.13 eV per formula unit, calculated density 16239 kg/m³. Number 6: E_form -1.48 eV per formula unit, calculated density 15729 kg/m³.